A plane-wave DFT calculation with PBE was carried out for a geometry-optimized SiPbW2 structure.

abc: 3.103 4.577 5.343
angles: 90.00 106.84 90.00
Element x y z (fractional)
Si: 0.000 0.000 0.000
Pb: 0.370 0.500 0.745
W: 0.099 0.500 0.216
W: 0.703 0.000 0.406

SG = No. 6
VASP energy = -32.4 eV per cell
ρ = 13.79 g cm⁻³
DOS(E_F) = 2.4 states/eV/cell
Uncorrected formation energy = 0.67 eV per atom